# Tc2Br | Alexandria via LeMat-Bulk | PBE | relaxed
data_Tc2Br
_chemical_formula_sum 'Tc8 Br4'
_symmetry_space_group_name_H-M 'P 1'
_symmetry_Int_Tables_number 1
_cell_length_a 9.922
_cell_length_b 2.976
_cell_length_c 8.709
_cell_angle_alpha 90.00
_cell_angle_beta 97.92
_cell_angle_gamma 90.00
loop_
_symmetry_equiv_pos_as_xyz
'x,y,z'
loop_
_atom_site_label
_atom_site_type_symbol
_atom_site_fract_x
_atom_site_fract_y
_atom_site_fract_z
_atom_site_occupancy
Tc1 Tc 0.043 0.000 0.369 1
Tc2 Tc 0.176 0.500 0.585 1
Tc3 Tc 0.324 0.000 0.415 1
Tc4 Tc 0.457 0.500 0.631 1
Tc5 Tc 0.543 0.500 0.369 1
Tc6 Tc 0.676 0.000 0.585 1
Tc7 Tc 0.824 0.500 0.415 1
Tc8 Tc 0.957 0.000 0.631 1
Br1 Br 0.155 0.500 0.174 1
Br2 Br 0.345 0.000 0.826 1
Br3 Br 0.655 0.000 0.174 1
Br4 Br 0.845 0.500 0.826 1
# Calculated volume = 21.23 Å³ per atom
# E_form (uncorrected) = 0.28 eV/atom